A relaxed Th4TlIn2 crystal. Source: the Alexandria database, functional PBE-GGA.

Geometry as POSCAR:
```
Th4TlIn2
1.0
5.180 -2.451 0.000
5.180 2.451 0.000
-4.920 0.000 8.649
Th Tl In
4 1 2
Cartesian
1.882 0.000 0.999
-0.427 0.000 5.481
5.866 0.000 3.168
3.558 0.000 7.650
2.720 0.000 4.325
-3.638 0.000 6.463
9.078 0.000 2.186
```

Summary:
For the energy relative to the elements, the calculation gives -11 meV per atom. The size of the total moment comes out at 0.00 μB/atom. The total energy is -5.371 eV per atom. The value obtained for the distance to the lowest polymorph of the same formula is 0.072 eV/atom. Its calculated volume is 219.63 Å³/f.u.